[1]
LiPr2AuSe2O2: optimized geometry, PBE.

For the total magnetization, the calculation gives 0.00 μB/f.u. The value obtained for the raw total energy is -0.2218 hartree per atom.

The structure belongs to space group P-4m2 (No. 115); the cell edges are 4.086, 4.086 and 9.050 Å and the angles 90.00°, 90.00° and 90.00°. Symmetry generates all atoms from Li at (0.000, 0.000, 0.000), Pr at (0.000, 0.500, 0.368), Au at (0.500, 0.500, 0.000), Se at (0.000, 0.500, 0.810), O at (0.000, 0.000, 0.500) and O at (0.500, 0.500, 0.500).

[2]
CsScBAu: optimized geometry, PBE.

For the total magnetization, the calculation gives 0.00 μB/f.u. The value obtained for the raw total energy is -0.1157 hartree per atom.

The structure belongs to space group F-43m (No. 216); the cell edges are 6.959, 6.959 and 6.959 Å and the angles 90.00°, 90.00° and 90.00°. Symmetry generates all atoms from Cs at (0.000, 0.000, 0.000), Sc at (0.250, 0.250, 0.250), B at (0.000, 0.000, 0.500) and Au at (0.250, 0.250, 0.750).

[3]
KAgSnSe3: optimized geometry, PBE.

The value obtained for the raw total energy is -0.1302 hartree per atom.

The structure belongs to space group C2/m (No. 12); the cell edges are 17.707, 4.012 and 9.313 Å and the angles 90.00°, 102.80° and 90.00°. Symmetry generates all atoms from K at (0.143, 0.000, 0.058), Ag at (0.006, 0.500, 0.717), Sn at (0.169, 0.000, 0.575), Se at (0.000, 0.000, 0.500), Se at (0.000, 0.500, 0.000), Se at (0.168, 0.500, 0.777) and Se at (0.170, 0.500, 0.362).

[4]
BOsWAu: optimized geometry, PBE.

For the total magnetization, the calculation gives 0.01 μB/f.u. The value obtained for the raw total energy is -0.2746 hartree per atom.

The structure belongs to space group F-43m (No. 216); the cell edges are 6.123, 6.123 and 6.123 Å and the angles 90.00°, 90.00° and 90.00°. Symmetry generates all atoms from B at (0.000, 0.000, 0.000), Os at (0.000, 0.000, 0.500), W at (0.250, 0.250, 0.250) and Au at (0.250, 0.250, 0.750).

[5]
GaCoCuRe: optimized geometry, PBE.

For the total magnetization, the calculation gives 2.24 μB/f.u. The value obtained for the raw total energy is -0.2302 hartree per atom.

The structure belongs to space group F-43m (No. 216); the cell edges are 5.927, 5.927 and 5.927 Å and the angles 90.00°, 90.00° and 90.00°. Symmetry generates all atoms from Ga at (0.000, 0.000, 0.000), Co at (0.250, 0.250, 0.250), Cu at (0.000, 0.000, 0.500) and Re at (0.250, 0.250, 0.750).

[6]
Zr4Ir3: optimized geometry, PBE.

For the total magnetization, the calculation gives 0.00 μB/f.u. The value obtained for the raw total energy is -0.3434 hartree per atom. As for the formation enthalpy at 0 K: -0.665 eV/atom.

The structure belongs to space group P6_3/m (No. 176); the cell edges are 8.0974, 8.0974 and 4.7056 Å and the angles 90.00°, 90.00° and 120.00°. Symmetry generates all atoms from Zr at (0.0055, 0.7507, 0.2500), Zr at (0.3333, 0.6667, 0.2500) and Ir at (0.1064, 0.6332, 0.7500).

[7]
TaCoSnHg: optimized geometry, PBE.

For the total magnetization, the calculation gives 0.00 μB/f.u. The value obtained for the raw total energy is -0.1930 hartree per atom.

The structure belongs to space group F-43m (No. 216); the cell edges are 6.618, 6.618 and 6.618 Å and the angles 90.00°, 90.00° and 90.00°. Symmetry generates all atoms from Ta at (0.000, 0.000, 0.000), Co at (0.250, 0.250, 0.750), Sn at (0.000, 0.000, 0.500) and Hg at (0.250, 0.250, 0.250).

[8]
Zr5Re24: optimized geometry, PBE.

For the total magnetization, the calculation gives 0.00 μB/f.u. The value obtained for the raw total energy is -0.4399 hartree per atom. As for the formation enthalpy at 0 K: -0.217 eV/atom.

The structure belongs to space group I-43m (No. 217); the cell edges are 9.770, 9.770 and 9.770 Å and the angles 90.00°, 90.00° and 90.00°. Symmetry generates all atoms from Zr at (0.000, 0.000, 0.000), Zr at (0.186, 0.186, 0.186), Re at (0.036, 0.360, 0.640) and Re at (0.091, 0.091, 0.714).